Record 1
! PBE HfCoN, optimized geometry; values from VASP
! SG ... C2/m
! DOS(E_F) ... 5.12 states/eV/cell
! Energy relative to the elements, uncorrected ... -0.571 eV per atom
! Calculated density ... 9.16 g/cm3
&SYSTEM
  ibrav = 0, nat = 6, ntyp = 3
/
ATOMIC_SPECIES
Co 58.93 Co.upf
Hf 178.49 Hf.upf
N 14.01 N.upf
ATOMIC_POSITIONS angstrom
Co -2.777 0.292 0.566
Co -2.867 1.049 2.679
Hf -1.391 2.730 0.669
Hf 0.000 0.000 0.000
N -2.374 -2.395 3.144
N -3.270 3.735 0.100
CELL_PARAMETERS angstrom
-2.150 -0.588 -2.071
-0.712 -3.532 3.977
-2.782 5.461 1.338

=====

Record 2
! PBE HfCoN2, optimized geometry; values from VASP
! SG ... P6_3/mmc
! DOS(E_F) ... 5.02 states/eV/cell
! Energy relative to the elements, uncorrected ... -0.545 eV per atom
! Calculated density ... 11.10 g/cm3
&SYSTEM
  ibrav = 0, nat = 8, ntyp = 3
/
ATOMIC_SPECIES
Hf 178.49 Hf.upf
Co 58.93 Co.upf
N 14.01 N.upf
ATOMIC_POSITIONS angstrom
Hf 1.550 -0.895 2.386
Hf 1.550 0.895 7.157
Co 0.000 0.000 0.000
Co 0.000 0.000 4.771
N 1.550 -0.895 8.470
N 1.550 0.895 1.072
N 1.550 0.895 3.699
N 1.550 -0.895 5.843
CELL_PARAMETERS angstrom
1.550 -2.685 0.000
1.550 2.685 0.000
0.000 0.000 9.542

=====

Record 3
! PBE Hf6CoN3, optimized geometry; values from VASP
! SG ... P2_1/m
! DOS(E_F) ... 9.74 states/eV/cell
! Energy relative to the elements, uncorrected ... -1.133 eV per atom
! Calculated density ... 13.09 g/cm3
&SYSTEM
  ibrav = 0, nat = 20, ntyp = 3
/
ATOMIC_SPECIES
Hf 178.49 Hf.upf
Co 58.93 Co.upf
N 14.01 N.upf
ATOMIC_POSITIONS angstrom
Hf 2.407 2.180 4.750
Hf 0.802 4.391 2.933
Hf 2.407 10.164 -0.075
Hf 0.802 -3.593 7.759
Hf 2.407 3.320 0.546
Hf 0.802 3.250 7.137
Hf 2.407 6.403 0.899
Hf 0.802 0.167 6.784
Hf 2.407 -0.904 4.098
Hf 0.802 7.475 3.585
Hf 2.407 5.399 5.384
Hf 0.802 1.171 2.299
Co 2.407 -2.182 6.256
Co 0.802 8.753 1.427
N 2.407 1.687 7.047
N 0.802 4.883 0.636
N 2.407 6.015 3.166
N 0.802 0.555 4.517
N 2.407 1.114 0.734
N 0.802 5.456 6.949
CELL_PARAMETERS angstrom
3.210 0.000 0.000
0.000 11.259 -0.928
0.000 -4.689 8.611

=====

Record 4
! PBE Hf5Co2N, optimized geometry; values from VASP
! SG ... Cmcm
! DOS(E_F) ... 10.74 states/eV/cell
! Energy relative to the elements, uncorrected ... -0.279 eV per atom
! Calculated density ... 11.19 g/cm3
&SYSTEM
  ibrav = 0, nat = 16, ntyp = 3
/
ATOMIC_SPECIES
Hf 178.49 Hf.upf
Co 58.93 Co.upf
N 14.01 N.upf
ATOMIC_POSITIONS angstrom
Hf 2.239 5.581 9.202
Hf 2.239 5.581 6.182
Hf 0.000 4.172 4.284
Hf 0.000 4.172 0.844
Hf 2.239 2.776 2.564
Hf 0.000 3.839 7.692
Hf 2.239 2.444 5.972
Hf 2.239 2.444 9.412
Hf 0.000 1.035 1.054
Hf 0.000 1.035 4.074
Co 2.239 5.138 3.702
Co 2.239 5.138 1.426
Co 0.000 1.478 6.554
Co 0.000 1.478 8.831
N 2.239 3.955 7.692
N 0.000 2.660 2.564
CELL_PARAMETERS angstrom
4.479 0.000 0.000
-2.239 6.615 0.000
0.000 0.000 10.256

=====

Record 5
! PBE HfCoN3, optimized geometry; values from VASP
! SG ... Pm-3m
! DOS(E_F) ... 5.09 states/eV/cell
! Energy relative to the elements, uncorrected ... 0.323 eV per atom
! Calculated density ... 9.68 g/cm3
&SYSTEM
  ibrav = 0, nat = 5, ntyp = 3
/
ATOMIC_SPECIES
Co 58.93 Co.upf
Hf 178.49 Hf.upf
N 14.01 N.upf
ATOMIC_POSITIONS angstrom
Co 0.000 0.000 0.000
Hf 1.817 1.817 1.817
N 0.000 1.817 0.000
N 0.000 0.000 1.817
N 1.817 0.000 0.000
CELL_PARAMETERS angstrom
3.633 0.000 0.000
0.000 3.633 0.000
0.000 0.000 3.633

=====

Record 6
! PBE Hf2CoN, optimized geometry; values from VASP
! SG ... I-42d
! DOS(E_F) ... 0.91 states/eV/cell
! Energy relative to the elements, uncorrected ... -0.565 eV per atom
! Calculated density ... 10.97 g/cm3
&SYSTEM
  ibrav = 0, nat = 8, ntyp = 3
/
ATOMIC_SPECIES
Co 58.93 Co.upf
Hf 178.49 Hf.upf
N 14.01 N.upf
ATOMIC_POSITIONS angstrom
Co 0.000 0.000 0.000
Co -4.110 4.726 2.891
Hf -2.996 3.053 1.383
Hf -1.503 1.409 4.444
Hf -2.617 4.426 4.889
Hf -5.316 5.975 7.038
N -2.782 1.493 2.776
N -2.106 2.706 5.986
CELL_PARAMETERS angstrom
-4.787 3.513 -0.319
-0.778 -0.527 5.871
-0.652 4.446 3.324

=====

Record 7
! PBE HfCoN2, optimized geometry; values from VASP
! SG ... Fm-3m
! DOS(E_F) ... 1.40 states/eV/cell
! Energy relative to the elements, uncorrected ... -0.232 eV per atom
! Calculated density ... 11.22 g/cm3
&SYSTEM
  ibrav = 0, nat = 4, ntyp = 3
/
ATOMIC_SPECIES
Co 58.93 Co.upf
Hf 178.49 Hf.upf
N 14.01 N.upf
ATOMIC_POSITIONS angstrom
Co 0.000 0.000 0.000
Hf 3.216 -3.181 1.175
N 1.608 -1.590 0.587
N 4.823 -4.771 1.762
CELL_PARAMETERS angstrom
3.509 -0.509 1.408
0.742 -3.001 2.236
2.180 -2.851 -1.295

=====

Record 8
! PBE HfCoN2, optimized geometry; values from VASP
! SG ... R-3m
! DOS(E_F) ... 2.59 states/eV/cell
! Energy relative to the elements, uncorrected ... -0.623 eV per atom
! Calculated density ... 8.15 g/cm3
&SYSTEM
  ibrav = 0, nat = 4, ntyp = 3
/
ATOMIC_SPECIES
Co 58.93 Co.upf
Hf 178.49 Hf.upf
N 14.01 N.upf
ATOMIC_POSITIONS angstrom
Co 0.000 0.000 0.000
Hf 0.000 0.000 8.597
N 0.000 0.000 15.399
N 0.000 0.000 1.796
CELL_PARAMETERS angstrom
1.905 0.000 5.732
-0.953 1.650 5.732
-0.953 -1.650 5.732